{
  "formula": "AlMoH6",
  "functional": "PBE",
  "state": "relaxed",
  "cell": [[-2.9733, -3.6314, -1.0039], [1.3436, -3.2595, -3.2568], [3.1858, -2.7781, 5.6460]],
  "species": ["Al", "Al", "H", "H", "H", "H", "H", "H", "H", "H", "H", "H", "H", "H", "Mo", "Mo"],
  "frac_coords": [[0.0385, 0.9615, 0.2500], [0.9615, 0.0385, 0.7500], [0.1241, 0.6120, 0.7464], [0.6006, 0.2241, 0.8553], [0.3994, 0.7759, 0.1447], [0.9381, 0.7640, 0.0309], [0.3880, 0.8759, 0.7536], [0.2241, 0.6006, 0.3553], [0.7640, 0.9381, 0.5309], [0.6120, 0.1241, 0.2464], [0.8759, 0.3880, 0.2536], [0.2360, 0.0619, 0.4691], [0.0619, 0.2360, 0.9691], [0.7759, 0.3994, 0.6447], [0.0000, 0.5000, 0.5000], [0.5000, 0.0000, 0.0000]],
  "final_energy_ev_per_atom": -4.02,
  "crystal_system": "monoclinic",
  "space_group": "C2/c, No. 15"
}

=====

{
  "formula": "AlMoH4",
  "functional": "PBE",
  "state": "relaxed",
  "cell": [[4.8525, 0.4737, 0.0000], [2.3472, 4.2734, 0.0000], [0.0000, 0.0000, 5.5457]],
  "species": ["Mo", "Mo", "H", "H", "H", "H", "H", "H", "H", "H", "Al", "Al"],
  "frac_coords": [[0.5177, 0.4624, 0.2500], [0.5376, 0.4823, 0.7500], [0.5969, 0.6963, 0.4527], [0.3037, 0.4031, 0.5473], [0.0572, 0.6823, 0.2500], [0.5969, 0.6963, 0.0473], [0.9709, 0.2629, 0.2500], [0.7371, 0.0291, 0.7500], [0.3177, 0.9428, 0.7500], [0.3037, 0.4031, 0.9527], [0.0303, 0.9697, 0.0000], [0.0302, 0.9698, 0.5000]],
  "final_energy_ev_per_atom": -4.48,
  "crystal_system": "orthorhombic",
  "space_group": "Ama2, No. 40"
}

=====

{
  "formula": "Al2MoH6",
  "functional": "PBE",
  "state": "relaxed",
  "cell": [[-3.6963, 0.6736, -2.5939], [-1.2839, -3.1797, -3.0141], [-3.7825, -2.4483, 0.7363]],
  "species": ["H", "H", "H", "H", "H", "H", "Mo", "Al", "Al"],
  "frac_coords": [[0.2726, 0.7274, 0.7274], [0.7274, 0.2726, 0.2726], [0.2726, 0.2726, 0.7274], [0.7274, 0.7274, 0.2726], [0.2726, 0.7274, 0.2726], [0.7274, 0.2726, 0.7274], [0.0000, 0.0000, 0.0000], [0.7500, 0.7500, 0.7500], [0.2500, 0.2500, 0.2500]],
  "final_energy_ev_per_atom": -4.23,
  "crystal_system": "cubic",
  "relative_energy_ev_per_atom": 0.036,
  "space_group": "Fm-3m, No. 225"
}

=====

{
  "formula": "Al2MoH5",
  "functional": "PBE",
  "state": "relaxed",
  "cell": [[3.9093, 0.3830, -2.1019], [-2.1702, 3.4009, -0.5374], [0.0189, -0.0797, 4.6936]],
  "species": ["H", "H", "H", "H", "H", "Al", "Al", "Mo"],
  "frac_coords": [[0.0104, 0.3280, 0.3841], [0.0011, 0.6324, 0.0573], [0.4739, 0.4055, 0.1716], [0.5069, 0.7774, 0.8573], [0.9888, 0.8276, 0.6647], [0.4318, 0.2831, 0.7330], [0.5900, 0.9033, 0.3293], [0.9970, 0.0657, 0.0257]],
  "final_energy_ev_per_atom": -4.36,
  "crystal_system": "triclinic",
  "space_group": "P1, No. 1"
}

=====

{
  "formula": "AlMo2H",
  "functional": "PBE",
  "state": "relaxed",
  "cell": [[-3.0123, -1.8161, 2.5529], [1.2008, -2.2088, 3.5452], [-0.8282, 2.5146, 4.5113]],
  "species": ["Al", "Mo", "Mo", "H"],
  "frac_coords": [[0.5000, 0.5000, 0.5000], [0.8718, 0.8718, 0.3846], [0.1282, 0.1282, 0.6154], [0.0000, 0.0000, 0.0000]],
  "final_energy_ev_per_atom": -6.41,
  "crystal_system": "trigonal",
  "relative_energy_ev_per_atom": 0.563,
  "space_group": "R-3m, No. 166"
}

=====

{
  "formula": "Al2Mo2H",
  "functional": "PBE",
  "state": "relaxed",
  "cell": [[-4.0597, -2.7064, 2.6974], [2.7151, 0.7262, 4.8149], [-2.1592, 3.8707, 0.6338]],
  "species": ["Mo", "Mo", "Mo", "Mo", "H", "H", "Al", "Al", "Al", "Al"],
  "frac_coords": [[0.6594, 0.1594, 0.0000], [0.8406, 0.6594, 0.0000], [0.1594, 0.3406, 0.0000], [0.3406, 0.8406, 0.0000], [0.5000, 0.5000, 0.0000], [0.0000, 0.0000, 0.0000], [0.3368, 0.1632, 0.5000], [0.6632, 0.8368, 0.5000], [0.8368, 0.3368, 0.5000], [0.1632, 0.6632, 0.5000]],
  "final_energy_ev_per_atom": -6.36,
  "crystal_system": "tetragonal",
  "space_group": "P4/mbm, No. 127"
}

=====

{
  "formula": "NbAlMo2H",
  "functional": "PBE",
  "state": "relaxed",
  "cell": [[4.0533, 0.0000, 0.0000], [0.0000, 4.0533, 0.0000], [0.0000, 0.0000, 4.1061]],
  "species": ["Mo", "Mo", "H", "Al", "Nb"],
  "frac_coords": [[0.5000, 0.0000, 0.0000], [0.0000, 0.5000, 0.0000], [0.0000, 0.0000, 0.0000], [0.5000, 0.5000, 0.5000], [0.0000, 0.0000, 0.5000]],
  "final_energy_ev_per_atom": -7.82,
  "crystal_system": "tetragonal",
  "space_group": "P4/mmm, No. 123"
}

=====

{
  "formula": "AlNiMo2H",
  "functional": "PBE",
  "state": "relaxed",
  "cell": [[3.7926, 0.0000, 0.0000], [0.0000, 3.7926, 0.0000], [0.0000, 0.0000, 4.1864]],
  "species": ["Mo", "Mo", "H", "Ni", "Al"],
  "frac_coords": [[0.5000, 0.0000, 0.0000], [0.0000, 0.5000, 0.0000], [0.0000, 0.0000, 0.0000], [0.0000, 0.0000, 0.5000], [0.5000, 0.5000, 0.5000]],
  "final_energy_ev_per_atom": -6.97,
  "crystal_system": "tetragonal",
  "space_group": "P4/mmm, No. 123"
}

=====

{
  "formula": "AlNi2MoH",
  "functional": "PBE",
  "state": "relaxed",
  "cell": [[3.6519, 0.0000, 0.0000], [0.0000, 3.6519, 0.0000], [0.0000, 0.0000, 4.0501]],
  "species": ["Ni", "Ni", "Al", "H", "Mo"],
  "frac_coords": [[0.0000, 0.5000, 0.0000], [0.5000, 0.0000, 0.0000], [0.5000, 0.5000, 0.5000], [0.0000, 0.0000, 0.0000], [0.0000, 0.0000, 0.5000]],
  "final_energy_ev_per_atom": -6.04,
  "crystal_system": "tetragonal",
  "space_group": "P4/mmm, No. 123"
}

=====

{
  "formula": "AlMoH2Os",
  "functional": "PBE",
  "state": "relaxed",
  "cell": [[-1.1959, -3.2120, 0.5495], [1.6156, 0.2008, 4.6898], [-3.0566, 1.3086, 0.9969]],
  "species": ["Os", "Mo", "H", "H", "Al"],
  "frac_coords": [[0.5000, 0.5000, 0.5000], [0.0000, 0.0000, 0.0000], [0.0000, 0.0000, 0.5000], [0.5000, 0.0000, 0.0000], [0.0000, 0.5000, 0.0000]],
  "final_energy_ev_per_atom": -5.60,
  "crystal_system": "tetragonal",
  "space_group": "P4/mmm, No. 123"
}

=====

{
  "formula": "Al2MoPH",
  "functional": "PBE",
  "state": "relaxed",
  "cell": [[-3.1468, 3.6117, 1.3924], [-1.6120, -0.4808, -2.3957], [-2.7272, -3.3421, 2.5057]],
  "species": ["H", "P", "Al", "Al", "Mo"],
  "frac_coords": [[0.0000, 0.5000, 0.0000], [0.0000, 0.0000, 0.0000], [0.0000, 0.0000, 0.5000], [0.5000, 0.0000, 0.0000], [0.5000, 0.5000, 0.5000]],
  "final_energy_ev_per_atom": -4.95,
  "crystal_system": "tetragonal",
  "space_group": "P4/mmm, No. 123"
}

=====

{
  "formula": "Al2MoHPd",
  "functional": "PBE",
  "state": "relaxed",
  "cell": [[4.2197, 0.0000, 0.0000], [0.0000, 4.2197, 0.0000], [0.0000, 0.0000, 3.4990]],
  "species": ["Pd", "Al", "Al", "H", "Mo"],
  "frac_coords": [[0.5000, 0.5000, 0.5000], [0.0000, 0.5000, 0.0000], [0.5000, 0.0000, 0.0000], [0.0000, 0.0000, 0.0000], [0.0000, 0.0000, 0.5000]],
  "final_energy_ev_per_atom": -5.62,
  "crystal_system": "tetragonal",
  "space_group": "P4/mmm, No. 123"
}

=====

{
  "formula": "AlMoHRu2",
  "functional": "PBE",
  "state": "relaxed",
  "cell": [[4.0062, 0.0000, 0.0000], [0.0000, 4.0062, 0.0000], [0.0000, 0.0000, 3.7846]],
  "species": ["Al", "Mo", "Ru", "Ru", "H"],
  "frac_coords": [[0.5000, 0.5000, 0.5000], [0.0000, 0.0000, 0.5000], [0.0000, 0.5000, 0.0000], [0.5000, 0.0000, 0.0000], [0.0000, 0.0000, 0.0000]],
  "final_energy_ev_per_atom": -7.33,
  "crystal_system": "tetragonal",
  "space_group": "P4/mmm, No. 123"
}

=====

{
  "formula": "AlMoH2Se",
  "functional": "PBE",
  "state": "relaxed",
  "cell": [[3.5247, 0.0000, 0.0000], [0.0000, 5.7453, 0.0000], [0.0000, 0.0000, 3.5247]],
  "species": ["Al", "Mo", "H", "H", "Se"],
  "frac_coords": [[0.0000, 0.0000, 0.0000], [0.0000, 0.5000, 0.0000], [0.5000, 0.0000, 0.0000], [0.0000, 0.0000, 0.5000], [0.5000, 0.5000, 0.5000]],
  "final_energy_ev_per_atom": -4.59,
  "crystal_system": "tetragonal",
  "space_group": "P4/mmm, No. 123"
}

=====

{
  "formula": "Al2SiMoH",
  "functional": "PBE",
  "state": "relaxed",
  "cell": [[-1.3247, -3.8477, -1.0561], [-0.3475, -0.7933, 3.3263], [-3.9673, 1.3887, -0.0832]],
  "species": ["Al", "Al", "H", "Mo", "Si"],
  "frac_coords": [[0.5000, 0.0000, 0.0000], [0.0000, 0.0000, 0.5000], [0.0000, 0.0000, 0.0000], [0.5000, 0.5000, 0.5000], [0.0000, 0.5000, 0.0000]],
  "final_energy_ev_per_atom": -5.29,
  "crystal_system": "tetragonal",
  "space_group": "P4/mmm, No. 123"
}

=====

{
  "formula": "AlSn2MoH",
  "functional": "PBE",
  "state": "relaxed",
  "cell": [[-1.9332, -4.4577, 1.8609], [-0.9506, -1.4985, -4.5769], [4.7243, -2.1629, -0.2731]],
  "species": ["Sn", "Sn", "Al", "Mo", "H"],
  "frac_coords": [[0.5000, 0.0000, 0.0000], [0.0000, 0.0000, 0.5000], [0.0000, 0.0000, 0.0000], [0.0000, 0.5000, 0.0000], [0.5000, 0.5000, 0.5000]],
  "final_energy_ev_per_atom": -3.74,
  "crystal_system": "tetragonal",
  "space_group": "P4/mmm, No. 123"
}

=====

{
  "formula": "Al2TcMoH",
  "functional": "PBE",
  "state": "relaxed",
  "cell": [[-3.3247, -1.1207, 2.2122], [2.4791, -1.4068, 3.0130], [-0.0553, 3.2388, 1.5577]],
  "species": ["Tc", "Al", "Al", "Mo", "H"],
  "frac_coords": [[0.0000, 0.0000, 0.5000], [0.0000, 0.5000, 0.0000], [0.5000, 0.0000, 0.0000], [0.5000, 0.5000, 0.5000], [0.0000, 0.0000, 0.0000]],
  "final_energy_ev_per_atom": -6.41,
  "crystal_system": "tetragonal",
  "space_group": "P4/mmm, No. 123"
}

=====

{
  "formula": "AlTcMo2H",
  "functional": "PBE",
  "state": "relaxed",
  "cell": [[3.9414, 0.0000, 0.0000], [0.0000, 3.9414, 0.0000], [0.0000, 0.0000, 4.0878]],
  "species": ["Tc", "H", "Al", "Mo", "Mo"],
  "frac_coords": [[0.0000, 0.0000, 0.5000], [0.0000, 0.0000, 0.0000], [0.5000, 0.5000, 0.5000], [0.0000, 0.5000, 0.0000], [0.5000, 0.0000, 0.0000]],
  "final_energy_ev_per_atom": -7.78,
  "crystal_system": "tetragonal",
  "space_group": "P4/mmm, No. 123"
}

=====

{
  "formula": "AlTc2MoH",
  "functional": "PBE",
  "state": "relaxed",
  "cell": [[-3.7329, -0.6040, -1.3334], [1.4548, -1.9356, -3.1960], [-0.1563, -3.3312, 1.9463]],
  "species": ["Mo", "Tc", "Tc", "H", "Al"],
  "frac_coords": [[0.0000, 0.0000, 0.5000], [0.0000, 0.5000, 0.0000], [0.5000, 0.0000, 0.0000], [0.0000, 0.0000, 0.0000], [0.5000, 0.5000, 0.5000]],
  "final_energy_ev_per_atom": -7.71,
  "crystal_system": "tetragonal",
  "space_group": "P4/mmm, No. 123"
}

=====

{
  "formula": "AlTcMoH2",
  "functional": "PBE",
  "state": "relaxed",
  "cell": [[3.5921, 0.0000, 0.0000], [0.0000, 4.9138, 0.0000], [0.0000, 0.0000, 3.5921]],
  "species": ["Mo", "H", "H", "Tc", "Al"],
  "frac_coords": [[0.0000, 0.5000, 0.0000], [0.5000, 0.0000, 0.0000], [0.0000, 0.0000, 0.5000], [0.0000, 0.0000, 0.0000], [0.5000, 0.5000, 0.5000]],
  "final_energy_ev_per_atom": -5.70,
  "crystal_system": "tetragonal",
  "space_group": "P4/mmm, No. 123"
}